1.
The following is a PBE-GGA calculation of an optimized crystal structure of Be4GaCo, from the Open Quantum Materials Database.

Calculated values
The total energy comes out at -26.456 eV for the cell shown.

Unit cell a=4.2283 b=4.2283 c=4.2283 alpha=60.00 beta=60.00 gamma=60.00
Positions (direct):
Be1 0.3739 0.8782 0.3739
Be2 0.8782 0.3739 0.3739
Be3 0.3739 0.3739 0.3739
Be4 0.3739 0.3739 0.8782
Co1 0.0000 0.0000 0.0000
Ga1 0.7500 0.7500 0.7500



2.
The following is a PBE-GGA calculation of an optimized crystal structure of W3N4, from the Open Quantum Materials Database.

Calculated values
The distance to the lowest polymorph of the same formula comes out at 0.5562 eV per atom.

Unit cell a=5.5737 b=5.5737 c=5.5737 alpha=109.47 beta=109.47 gamma=109.47
Positions (direct):
N1 0.0000 0.8507 0.5000
N2 0.1493 0.1493 0.1493
N3 0.5000 0.0000 0.3507
N4 0.6493 0.6493 0.6493
N5 0.5000 0.0000 0.8507
N6 0.3507 0.5000 0.0000
N7 0.8507 0.5000 0.0000
N8 0.0000 0.3507 0.5000
W1 0.2500 0.6250 0.3750
W2 0.6250 0.3750 0.2500
W3 0.8750 0.1250 0.7500
W4 0.3750 0.2500 0.6250
W5 0.7500 0.8750 0.1250
W6 0.1250 0.7500 0.8750



3.
The following is a PBE-GGA calculation of an optimized crystal structure of Ta4SnPbC2, from the Open Quantum Materials Database.

Calculated values
The total energy comes out at -75.598 eV for the cell shown.

Unit cell a=3.2794 b=3.2794 c=13.9479 alpha=90.00 beta=90.00 gamma=120.00
Positions (direct):
Ta1 0.0000 0.0000 0.3346
Ta2 0.6667 0.3333 0.1733
Ta3 0.6667 0.3333 0.8267
Ta4 0.0000 0.0000 0.6654
Pb1 0.0000 0.0000 0.0000
C1 0.3333 0.6667 0.2532
C2 0.3333 0.6667 0.7468
Sn1 0.6667 0.3333 0.5000